(1)
A relaxed Sc3TiAg crystal. Source: Alexandria via LeMat-Bulk, functional PBE. Values from VASP.

The structure in Quantum ESPRESSO input format:
```
&SYSTEM
  ibrav = 0, nat = 5, ntyp = 3
/
ATOMIC_SPECIES
Ti 47.87 Ti.upf
Sc 44.96 Sc.upf
Ag 107.87 Ag.upf
CELL_PARAMETERS angstrom
5.133 0.000 0.000
0.000 5.133 0.000
0.000 0.000 5.133
ATOMIC_POSITIONS angstrom
Ti 2.566 2.566 2.566
Sc 2.566 0.000 0.000
Sc 0.000 0.000 2.566
Sc 0.000 2.566 0.000
Ag 0.000 0.000 0.000
```

Properties
**Calculated volume**: 27.04 A^3/atom
**Theoretical density**: 3569 kg/m³
**Energy of formation**: 0.654 eV per atom
**ΔE to the lowest computed polymorph**: 54 meV per atom

(2)
A relaxed Cd3TeSe2 crystal. Source: Alexandria via LeMat-Bulk, functional PBE. Values from VASP.

The structure in Quantum ESPRESSO input format:
```
&SYSTEM
  ibrav = 0, nat = 24, ntyp = 3
/
ATOMIC_SPECIES
Cd 112.41 Cd.upf
Se 78.96 Se.upf
Te 127.60 Te.upf
CELL_PARAMETERS angstrom
0.662 -1.862 -7.497
6.061 -2.846 3.909
-10.147 -9.034 4.024
ATOMIC_POSITIONS angstrom
Cd -5.851 -9.564 1.367
Cd -7.295 -10.300 5.423
Cd -3.580 -5.531 0.564
Cd -0.347 -8.120 -1.190
Cd -1.609 -8.953 2.923
Cd 1.982 -4.097 -1.870
Cd -2.076 -4.763 -3.463
Cd 0.440 -5.200 2.277
Cd -4.450 -8.414 -2.654
Cd 6.068 -3.843 -0.345
Cd -2.579 -11.782 -0.319
Cd -1.248 -1.887 -0.095
Se -0.730 -10.059 0.643
Se -0.372 -2.939 -2.424
Se 1.117 -1.945 -6.536
Se 3.815 -2.437 -0.836
Se -1.798 -3.846 1.685
Se -2.607 -6.708 -1.672
Se 0.091 -7.200 4.028
Se -4.856 -10.474 -0.951
Te -4.058 -7.624 2.426
Te -8.272 -8.188 0.860
Te 1.527 -6.281 -0.102
Te 3.042 -5.226 -4.240
```

Properties
**Energy relative to the elements, uncorrected**: -0.57 eV per atom
**Calculated volume**: 31.75 A^3/atom
**Theoretical density**: 5428 kg/m³

(3)
A relaxed Nd4YGa2 crystal. Source: Alexandria via LeMat-Bulk, functional PBE. Values from VASP.

The structure in Quantum ESPRESSO input format:
```
&SYSTEM
  ibrav = 0, nat = 7, ntyp = 3
/
ATOMIC_SPECIES
Y 88.91 Y.upf
Ga 69.72 Ga.upf
Nd 144.24 Nd.upf
CELL_PARAMETERS angstrom
-2.754 -0.657 -4.303
-1.738 -4.683 -1.255
-9.850 -0.041 3.227
ATOMIC_POSITIONS angstrom
Y -7.171 -2.691 -1.165
Ga -9.658 -2.173 0.347
Ga -4.684 -3.208 -2.678
Nd -2.409 -1.590 -1.298
Nd -11.933 -3.791 -1.032
Nd -7.338 -0.564 1.699
Nd -7.004 -4.817 -4.030
```

Properties
**Calculated volume**: 32.59 A^3/atom
**Theoretical density**: 5862 kg/m³
**Energy of formation**: -0.093 eV per atom

(4)
A relaxed La8CoRh3Br3 crystal. Source: Alexandria via LeMat-Bulk, functional PBE. Values from VASP.

The structure in Quantum ESPRESSO input format:
```
&SYSTEM
  ibrav = 0, nat = 15, ntyp = 4
/
ATOMIC_SPECIES
Br 79.90 Br.upf
La 138.91 La.upf
Rh 102.91 Rh.upf
Co 58.93 Co.upf
CELL_PARAMETERS angstrom
8.330 0.011 0.001
-4.156 7.219 -0.020
-0.005 -4.782 7.875
ATOMIC_POSITIONS angstrom
Br 0.000 0.000 0.000
Br -2.078 3.609 -0.010
Br 2.087 3.615 -0.009
La 4.166 0.036 5.491
La 0.003 2.412 2.365
La -2.134 3.674 5.447
La 2.150 3.681 5.446
La 6.303 -1.227 2.409
La 2.019 -1.234 2.410
La 4.167 2.480 2.397
La 0.002 -0.033 5.459
Rh -2.080 1.218 3.928
Rh 4.162 -2.386 3.938
Rh 2.084 1.224 3.928
Co -0.003 -2.391 3.937
```

Properties
**Energy relative to the elements, uncorrected**: -0.98 eV per atom
**Calculated volume**: 31.54 A^3/atom
**Theoretical density**: 6032 kg/m³

(5)
A relaxed Ba8ZnAu3I4 crystal. Source: Alexandria via LeMat-Bulk, functional PBE. Values from VASP.

The structure in Quantum ESPRESSO input format:
```
&SYSTEM
  ibrav = 0, nat = 16, ntyp = 4
/
ATOMIC_SPECIES
Au 196.97 Au.upf
Ba 137.33 Ba.upf
I 126.90 I.upf
Zn 65.41 Zn.upf
CELL_PARAMETERS angstrom
9.532 0.000 0.000
0.000 10.426 0.622
-4.766 -4.764 6.743
ATOMIC_POSITIONS angstrom
Au 2.383 2.831 3.683
Au 4.766 5.213 0.311
Au -2.383 2.831 3.683
Ba 0.000 0.522 3.736
Ba -2.363 2.768 6.995
Ba 2.402 2.894 0.370
Ba 7.129 2.894 0.370
Ba 4.766 5.140 3.630
Ba 4.766 0.533 3.713
Ba 0.000 5.129 3.652
Ba 2.363 2.768 6.995
I 4.766 0.000 0.000
I 0.000 0.000 0.000
I 2.383 -2.382 3.371
I -2.383 -2.382 3.371
Zn 0.000 5.213 0.311
```

Properties
**Energy relative to the elements, uncorrected**: -0.98 eV per atom
**Calculated volume**: 43.65 A^3/atom
**Theoretical density**: 5380 kg/m³

(6)
A relaxed CaPm5Pd2 crystal. Source: Alexandria via LeMat-Bulk, functional PBE. Values from VASP.

The structure in Quantum ESPRESSO input format:
```
&SYSTEM
  ibrav = 0, nat = 8, ntyp = 3
/
ATOMIC_SPECIES
Ca 40.08 Ca.upf
Pm 145.00 Pm.upf
Pd 106.42 Pd.upf
CELL_PARAMETERS angstrom
4.628 0.000 0.000
2.314 7.918 0.872
2.314 3.214 7.289
ATOMIC_POSITIONS angstrom
Ca 0.000 0.000 0.000
Pm 4.628 8.306 3.789
Pm 4.628 6.112 6.781
Pm 4.628 5.020 1.380
Pm 4.628 2.826 4.373
Pm 2.314 5.566 4.081
Pd 6.942 7.892 5.786
Pd 2.314 3.241 2.376
```

Properties
**Calculated volume**: 31.77 A^3/atom
**Theoretical density**: 6390 kg/m³
**Energy of formation**: -0.304 eV per atom

(7)
A relaxed Tb3Ga4Pt7 crystal. Source: Alexandria via LeMat-Bulk, functional PBE. Values from VASP.

The structure in Quantum ESPRESSO input format:
```
&SYSTEM
  ibrav = 0, nat = 14, ntyp = 3
/
ATOMIC_SPECIES
Pt 195.08 Pt.upf
Tb 158.93 Tb.upf
Ga 69.72 Ga.upf
CELL_PARAMETERS angstrom
-2.000 2.118 2.905
1.986 -3.611 6.913
6.080 4.565 3.769
ATOMIC_POSITIONS angstrom
Pt 1.321 -1.488 4.907
Pt 1.723 2.968 4.848
Pt 0.000 0.000 0.000
Pt 4.343 0.104 8.739
Pt 1.828 -0.748 7.629
Pt 4.238 3.820 5.958
Pt 4.745 4.560 8.680
Tb 4.033 0.477 5.341
Tb 0.724 0.817 2.816
Tb 5.342 2.255 10.771
Ga 4.012 2.881 3.574
Ga 2.054 0.192 10.013
Ga 0.946 0.844 5.862
Ga 5.121 2.229 7.725
```

Properties
**Calculated volume**: 18.11 A^3/atom
**Theoretical density**: 13890 kg/m³
**Energy of formation**: -1.013 eV per atom

(8)
A relaxed SmPPd crystal. Source: Alexandria via LeMat-Bulk, functional PBE. Values from VASP.

The structure in Quantum ESPRESSO input format:
```
&SYSTEM
  ibrav = 0, nat = 12, ntyp = 3
/
ATOMIC_SPECIES
Sm 150.36 Sm.upf
Pd 106.42 Pd.upf
P 30.97 P.upf
CELL_PARAMETERS angstrom
-0.762 5.601 0.067
-3.320 -0.552 8.398
6.888 0.989 -4.375
ATOMIC_POSITIONS angstrom
Sm 5.245 6.409 -2.651
Sm 2.296 3.119 0.388
Sm 0.511 2.919 3.703
Sm -2.438 -0.371 6.742
Pd 3.203 5.817 -0.685
Pd -1.609 2.898 5.676
Pd -0.396 0.221 4.776
Pd 4.416 3.140 -1.585
P -0.625 2.725 1.140
P 3.432 3.313 2.951
P 1.275 5.838 0.972
P 1.532 0.200 3.118
```

Properties
**Calculated volume**: 20.60 A^3/atom
**Theoretical density**: 7732 kg/m³
**Energy of formation**: -0.887 eV per atom

(9)
A relaxed Zn2ICl8 crystal. Source: Alexandria via LeMat-Bulk, functional PBE. Values from VASP.

The structure in Quantum ESPRESSO input format:
```
&SYSTEM
  ibrav = 0, nat = 11, ntyp = 3
/
ATOMIC_SPECIES
Cl 35.45 Cl.upf
Zn 65.41 Zn.upf
I 126.90 I.upf
CELL_PARAMETERS angstrom
-6.272 -2.055 -0.066
1.186 -3.497 -6.790
2.346 -7.288 1.060
ATOMIC_POSITIONS angstrom
Cl -3.960 -4.807 -4.731
Cl -2.629 -8.357 -3.648
Cl 0.873 -9.343 -4.641
Cl -3.613 -3.498 -1.155
Cl -0.111 -4.484 -2.149
Cl 1.219 -8.034 -1.065
Cl 0.514 -5.729 -5.838
Cl -3.255 -7.112 0.041
Zn -1.291 -9.790 -4.537
Zn -1.449 -3.051 -1.259
I 0.000 0.000 0.000
```

Properties
**Energy relative to the elements, uncorrected**: -0.54 eV per atom
**Calculated volume**: 33.54 A^3/atom
**Theoretical density**: 2436 kg/m³

(10)
A relaxed SmTiFe5Co6 crystal. Source: Alexandria via LeMat-Bulk, functional PBE. Values from VASP.

The structure in Quantum ESPRESSO input format:
```
&SYSTEM
  ibrav = 0, nat = 13, ntyp = 4
/
ATOMIC_SPECIES
Fe 55.84 Fe.upf
Co 58.93 Co.upf
Ti 47.87 Ti.upf
Sm 150.36 Sm.upf
CELL_PARAMETERS angstrom
-1.980 -4.514 -4.121
-1.982 -2.894 5.383
-1.644 5.162 -3.454
ATOMIC_POSITIONS angstrom
Fe -2.952 -3.530 -1.398
Fe -2.795 -1.934 -5.825
Fe -4.603 0.008 -0.112
Fe -4.603 -0.803 -4.863
Fe -2.795 -1.122 -1.074
Co -2.889 -1.707 -3.424
Co -4.184 0.412 -2.644
Co -3.066 2.503 -3.000
Co -2.357 0.421 -4.925
Co -2.629 1.280 -0.741
Co -2.700 -0.541 1.267
Ti -1.361 0.243 -2.844
Sm -3.614 0.646 -7.553
```

Properties
**Calculated volume**: 12.91 A^3/atom
**Theoretical density**: 8222 kg/m³
**Energy of formation**: -0.107 eV per atom

(11)
A relaxed Nd3Sm4HoTe8 crystal. Source: Alexandria via LeMat-Bulk, functional PBE. Values from VASP.

The structure in Quantum ESPRESSO input format:
```
&SYSTEM
  ibrav = 0, nat = 16, ntyp = 4
/
ATOMIC_SPECIES
Sm 150.36 Sm.upf
Te 127.60 Te.upf
Ho 164.93 Ho.upf
Nd 144.24 Nd.upf
CELL_PARAMETERS angstrom
-8.688 -1.799 0.936
1.030 -7.444 -4.750
5.059 1.434 7.197
ATOMIC_POSITIONS angstrom
Sm -4.344 -0.900 0.468
Sm -1.814 -0.183 4.066
Sm 2.530 0.717 3.598
Sm 0.000 0.000 0.000
Te 1.125 -5.317 0.220
Te 3.185 -0.873 6.214
Te -3.207 -6.248 0.740
Te -5.785 -6.936 -2.831
Te 0.608 -1.562 2.643
Te -1.244 -1.790 6.691
Te -1.355 -6.019 -3.308
Te -3.724 -2.493 3.163
Ho 0.515 -3.722 -2.375
Nd -1.300 -3.905 1.692
Nd -3.829 -4.622 -1.907
Nd 3.044 -3.005 1.224
```

Properties
**Energy relative to the elements, uncorrected**: -1.37 eV per atom
**Calculated volume**: 31.22 A^3/atom
**Theoretical density**: 7380 kg/m³

(12)
A relaxed Ac2Al4PbAu3 crystal. Source: Alexandria via LeMat-Bulk, functional PBE. Values from VASP.

The structure in Quantum ESPRESSO input format:
```
&SYSTEM
  ibrav = 0, nat = 10, ntyp = 4
/
ATOMIC_SPECIES
Pb 207.20 Pb.upf
Au 196.97 Au.upf
Al 26.98 Al.upf
Ac 227.00 Ac.upf
CELL_PARAMETERS angstrom
4.574 0.000 0.000
0.000 4.574 0.000
0.000 0.000 11.033
ATOMIC_POSITIONS angstrom
Pb 2.287 2.287 5.516
Au 0.000 2.287 1.333
Au 0.000 0.000 5.516
Au 2.287 0.000 9.700
Al 2.287 0.000 7.158
Al 0.000 0.000 0.000
Al 2.287 2.287 0.000
Al 0.000 2.287 3.875
Ac 0.000 2.287 8.371
Ac 2.287 0.000 2.662
```

Properties
**Calculated volume**: 23.08 A^3/atom
**Theoretical density**: 9785 kg/m³
**Energy of formation**: -0.616 eV per atom